No. 1
This record from Alexandria via LeMat-Bulk describes crystalline Sc2OsRu at its relaxed geometry. The functional is PBE.

Cell lengths 5.8222, 5.8222, 5.8222 Å; angles 58.06, 151.98, 130.26 degrees
Atoms (fractional coordinates):
Sc1 0.0000 0.2454 0.2454
Os1 0.0000 0.5000 0.5000
Sc2 0.0000 0.7546 0.7546
Ru1 0.0000 0.0000 0.0000

Energy of formation from the pure elements ... 580 meV per atom
ρ ... 9.01 g/cm3
Total DFT energy (no corrections) ... -7.71 eV per atom
Total moment ... 0.0 μB per cell

No. 2
This record from Alexandria via LeMat-Bulk describes crystalline Li2Zr2Os at its relaxed geometry. The functional is PBE.

Cell lengths 9.3828, 9.3828, 9.3828 Å; angles 160.33, 160.33, 27.96 degrees
Atoms (fractional coordinates):
Li1 0.2500 0.7500 0.5000
Zr1 0.5926 0.5926 0.0000
Zr2 0.4074 0.4074 0.0000
Os1 0.0000 0.0000 0.0000
Li2 0.7500 0.2500 0.5000

Energy of formation from the pure elements ... 117 meV per atom
ρ ... 6.86 g/cm3
Total DFT energy (no corrections) ... -6.31 eV per atom
Total moment ... 0.0 μB per cell

No. 3
This record from Alexandria via LeMat-Bulk describes crystalline Pu4UP5 at its relaxed geometry. The functional is PBE.

Cell lengths 5.6435, 6.9132, 6.9132 Å; angles 80.41, 65.91, 65.91 degrees
Last column: magnetic moment on the atom in μB.
Atoms (fractional coordinates):
U1 0.0012 0.0000 0.0000  1.91
P1 0.7051 0.1970 0.3948  -0.14
Pu1 0.2002 0.2021 0.3996  4.98
Pu2 0.5997 0.6004 0.2021  4.98
P2 0.5012 0.0000 0.0000  -0.12
P3 0.9020 0.3948 0.8030  -0.14
Pu3 0.4023 0.3996 0.7979  4.98
P4 0.0999 0.6052 0.1970  -0.14
P5 0.2969 0.8030 0.6052  -0.14
Pu4 0.8018 0.7979 0.6004  4.98

Energy of formation from the pure elements ... -1116 meV per atom
ρ ... 10.11 g/cm3
Total DFT energy (no corrections) ... -10.68 eV per atom
Total moment ... 22.4 μB per cell

No. 4
This record from Alexandria via LeMat-Bulk describes crystalline RbMnIr3 at its relaxed geometry. The functional is PBE.

Cell lengths 4.6342, 4.6342, 4.6342 Å; angles 90.00, 90.00, 90.00 degrees
Atoms (fractional coordinates):
Rb1 0.5000 0.5000 0.5000
Ir1 0.5000 0.0000 0.0000
Ir2 0.0000 0.5000 0.0000
Ir3 0.0000 0.0000 0.5000
Mn1 0.0000 0.0000 0.0000

Energy of formation from the pure elements ... 1288 meV per atom
ρ ... 11.96 g/cm3
Total DFT energy (no corrections) ... -6.06 eV per atom
Total moment ... 0.0 μB per cell
Offset from the most stable computed form ... 0.000 eV per atom

No. 5
This record from Alexandria via LeMat-Bulk describes crystalline Pm2Ho6Tm3In at its relaxed geometry. The functional is PBE.

Cell lengths 6.0534, 6.0534, 11.6414 Å; angles 94.98, 94.98, 120.03 degrees
Atoms (fractional coordinates):
In1 0.0000 0.0000 0.0000
Tm1 0.1666 0.8334 0.5000
Ho1 0.5888 0.9167 0.7490
Ho2 0.4112 0.0833 0.2510
Tm2 0.5000 0.5000 0.5000
Ho3 0.2444 0.2444 0.7480
Pm1 0.3339 0.6661 0.0000
Tm3 0.8334 0.1666 0.5000
Ho4 0.7556 0.7556 0.2520
Pm2 0.6661 0.3339 0.0000
Ho5 0.9167 0.5888 0.7490
Ho6 0.0833 0.4112 0.2510

Energy of formation from the pure elements ... -52 meV per atom
ρ ... 8.68 g/cm3
Total DFT energy (no corrections) ... -4.48 eV per atom
Total moment ... 0.0 μB per cell

No. 6
This record from Alexandria via LeMat-Bulk describes crystalline Zn2IrSe at its relaxed geometry. The functional is PBE.

Cell lengths 4.8988, 4.8988, 4.8988 Å; angles 132.83, 132.83, 68.92 degrees
Atoms (fractional coordinates):
Zn1 0.0000 0.0000 0.0000
Ir1 0.2500 0.7500 0.5000
Se1 0.7500 0.2500 0.5000
Zn2 0.5000 0.5000 0.0000

ρ ... 10.76 g/cm3
ΔE_f (raw) ... 128 meV per atom
Total DFT energy (no corrections) ... -3.60 eV per atom
Total moment ... 0.0 μB per cell

No. 7
This record from Alexandria via LeMat-Bulk describes crystalline LaHoPuO6 at its relaxed geometry. The functional is PBE.

Cell lengths 5.7749, 5.7749, 9.9541 Å; angles 90.00, 90.00, 120.00 degrees
Last column: magnetic moment on the atom in μB.
Atoms (fractional coordinates):
Pu1 0.6667 0.3333 0.2500  2.44
O1 0.9759 0.6328 0.3614  -0.07
O2 0.0241 0.6569 0.8614  -0.07
O3 0.0241 0.3672 0.6386  -0.07
O4 0.3672 0.0241 0.1386  -0.07
Ho1 0.6667 0.3333 0.7500  0.00
O5 0.6328 0.9759 0.8614  -0.07
O6 0.3431 0.3672 0.8614  -0.07
O7 0.6569 0.6328 0.1386  -0.07
Pu2 0.3333 0.6667 0.7500  2.44
O8 0.6328 0.6569 0.6386  -0.07
La1 0.0000 0.0000 0.5000  0.00
O9 0.3431 0.9759 0.6386  -0.07
La2 0.0000 0.0000 0.0000  0.00
Ho2 0.3333 0.6667 0.2500  0.00
O10 0.6569 0.0241 0.3614  -0.07
O11 0.3672 0.3431 0.3614  -0.07
O12 0.9759 0.3431 0.1386  -0.07

ρ ... 7.44 g/cm3
ΔE_f (raw) ... -3095 meV per atom
Total DFT energy (no corrections) ... -9.05 eV per atom
Total moment ... 4.0 μB per cell

No. 8
This record from Alexandria via LeMat-Bulk describes crystalline Sm2MnCu3Ni12 at its relaxed geometry. The functional is PBE.

Cell lengths 9.1943, 9.1943, 9.1943 Å; angles 37.87, 37.87, 37.87 degrees
Last column: magnetic moment on the atom in μB.
Atoms (fractional coordinates):
Cu1 0.5000 0.0000 0.0000  0.03
Ni1 0.4213 0.8118 0.4213  0.17
Ni2 0.9307 0.9307 0.3507  0.26
Ni3 0.0693 0.6493 0.0693  0.26
Ni4 0.3507 0.9307 0.9307  0.26
Ni5 0.1882 0.5787 0.5787  0.17
Sm1 0.3470 0.3470 0.3470  -0.08
Cu2 0.0000 0.0000 0.5000  0.03
Ni6 0.5787 0.1882 0.5787  0.17
Ni7 0.6493 0.0693 0.0693  0.26
Ni8 0.5787 0.5787 0.1882  0.17
Mn1 0.0000 0.0000 0.0000  2.79
Sm2 0.6530 0.6530 0.6530  -0.08
Ni9 0.8118 0.4213 0.4213  0.17
Cu3 0.0000 0.5000 0.0000  0.03
Ni10 0.9307 0.3507 0.9307  0.26
Ni11 0.0693 0.0693 0.6493  0.26
Ni12 0.4213 0.4213 0.8118  0.17

Energy of formation from the pure elements ... 233 meV per atom
ρ ... 7.90 g/cm3
Total DFT energy (no corrections) ... -5.34 eV per atom
Total moment ... 5.0 μB per cell

No. 9
This record from Alexandria via LeMat-Bulk describes crystalline AlGa2Cu7 at its relaxed geometry. The functional is PBE.

Cell lengths 4.0703, 4.0703, 9.6779 Å; angles 90.00, 90.00, 120.00 degrees
Atoms (fractional coordinates):
Cu1 0.3333 0.6667 0.8960
Cu2 0.3333 0.6667 0.4068
Cu3 0.0000 0.0000 0.7792
Ga1 0.6667 0.3333 0.2533
Al1 0.0000 0.0000 0.0422
Ga2 0.3333 0.6667 0.6510
Cu4 0.6667 0.3333 0.9627
Cu5 0.6667 0.3333 0.5241
Cu6 0.0000 0.0000 0.3181
Cu7 0.3333 0.6667 0.1501

Energy of formation from the pure elements ... 30 meV per atom
ρ ... 7.31 g/cm3
Total DFT energy (no corrections) ... -3.82 eV per atom
Total moment ... 0.0 μB per cell

No. 10
This record from Alexandria via LeMat-Bulk describes crystalline Cs4PuCu3Br12 at its relaxed geometry. The functional is PBE.

Cell lengths 9.4140, 9.4140, 9.4140 Å; angles 109.47, 109.47, 109.47 degrees
Last column: magnetic moment on the atom in μB.
Atoms (fractional coordinates):
Br1 0.7500 0.2500 0.5000  -0.04
Cs1 0.5000 0.0000 0.0000  0.00
Cs2 0.0000 0.0000 0.5000  0.00
Cu1 0.5000 0.5000 0.0000  -0.15
Br2 0.7500 0.5000 0.2500  -0.04
Br3 0.5000 0.2500 0.7500  -0.04
Br4 0.7445 0.0000 0.7445  -0.06
Br5 0.2555 0.0000 0.2555  -0.06
Br6 0.2500 0.5000 0.7500  -0.04
Pu1 0.0000 0.0000 0.0000  4.78
Cu2 0.0000 0.5000 0.5000  -0.15
Br7 0.5000 0.7500 0.2500  -0.04
Cs3 0.0000 0.5000 0.0000  0.00
Br8 0.0000 0.2555 0.2555  -0.06
Cs4 0.5000 0.5000 0.5000  0.00
Br9 0.2500 0.7500 0.5000  -0.04
Br10 0.7445 0.7445 0.0000  -0.06
Cu3 0.5000 0.0000 0.5000  -0.15
Br11 0.0000 0.7445 0.7445  -0.06
Br12 0.2555 0.2555 0.0000  -0.06

ρ ... 4.98 g/cm3
ΔE_f (raw) ... -1133 meV per atom
Total DFT energy (no corrections) ... -3.64 eV per atom
Total moment ... 3.7 μB per cell

No. 11
This record from Alexandria via LeMat-Bulk describes crystalline Ag2PC at its relaxed geometry. The functional is PBE.

Cell lengths 4.3646, 4.3646, 4.3646 Å; angles 60.00, 60.00, 60.00 degrees
Atoms (fractional coordinates):
Ag1 0.2500 0.2500 0.2500
P1 0.5000 0.5000 0.5000
C1 0.0000 0.0000 0.0000
Ag2 0.7500 0.7500 0.7500

Energy of formation from the pure elements ... 1430 meV per atom
ρ ... 7.31 g/cm3
Total DFT energy (no corrections) ... -3.65 eV per atom
Total moment ... 0.0 μB per cell
Offset from the most stable computed form ... 0.039 eV per atom

No. 12
This record from Alexandria via LeMat-Bulk describes crystalline CaNbZn3 at its relaxed geometry. The functional is PBE.

Cell lengths 4.8959, 4.8959, 4.8959 Å; angles 90.00, 90.00, 90.00 degrees
Atoms (fractional coordinates):
Nb1 0.5000 0.5000 0.5000
Zn1 0.0000 0.0000 0.5000
Ca1 0.0000 0.0000 0.0000
Zn2 0.0000 0.5000 0.0000
Zn3 0.5000 0.0000 0.0000

Energy of formation from the pure elements ... 1440 meV per atom
ρ ... 4.66 g/cm3
Total DFT energy (no corrections) ... -1.74 eV per atom
Total moment ... 0.0 μB per cell
Offset from the most stable computed form ... 0.967 eV per atom